{"formula": "TlVTc3", "functional": "PBE-GGA", "state": "relaxed", "dos_at_fermi_per_ev_cell": 4.65, "delta_e_f_ev_per_atom": 1.1811, "density_g_cm3": 9.76, "space_group": "No. 221", "lattice_angstrom": [[4.539, 0.000, 0.000], [0.000, 4.539, 0.000], [0.000, 0.000, 4.539]], "species": ["Tl", "Tc", "Tc", "Tc", "V"], "fractional_positions": [[0.500, 0.500, 0.500], [0.000, 0.500, 0.000], [0.000, 0.000, 0.500], [0.500, 0.000, 0.000], [0.000, 0.000, 0.000]]}